[1]
Material: SiTe2C2
Method: DFT, GGA-PBE
State: optimized geometry

abc: 7.3123 7.3123 3.3004
angles: 90.00 90.00 90.00
With the nearest neighbours (Å) after each atom.
Fractional positions:
1 C 0.2050 0.2950 0.0000  2 Te 2.14
2 Te 0.1631 0.6631 0.5000  2 C 2.14
3 C 0.7050 0.2050 0.0000  2 Te 2.14
4 C 0.7950 0.7050 0.0000  2 Te 2.14
5 C 0.2950 0.7950 0.0000  2 Te 2.14
6 Te 0.8369 0.3369 0.5000  2 C 2.14
7 Te 0.3369 0.1631 0.5000  2 C 2.14
8 Si 0.0000 0.0000 0.0000  4 C 2.63
9 Te 0.6631 0.8369 0.5000  2 C 2.14
10 Si 0.5000 0.5000 0.0000  4 C 2.63

Properties
* relative energy among the computed polymorphs: 6.666 kcal/mol of atoms
* symmetry: No. 127


[2]
Material: SiTe2C
Method: DFT, GGA-PBE
State: optimized geometry

abc: 6.5959 6.5959 6.2813
angles: 58.33 58.33 90.00
With the nearest neighbours (Å) after each atom.
Fractional positions:
1 Te 0.1794 0.6250 0.2500  2 C 2.34
2 Te 0.3750 0.4294 0.7500  2 C 2.34
3 Te 0.5706 0.1250 0.2500  2 C 2.34
4 Te 0.8750 0.8206 0.7500  2 C 2.34
5 Si 0.7500 0.2500 0.5000  4 Te 2.80
6 Si 0.0000 0.0000 0.0000  4 Te 2.80
7 C 0.5000 0.5000 0.0000  4 Te 2.34
8 C 0.2500 0.7500 0.5000  4 Te 2.34

Properties
* relative energy among the computed polymorphs: 0.000 kcal/mol of atoms
* symmetry: No. 122


[3]
Material: Si3TeC
Method: DFT, GGA-PBE
State: optimized geometry

abc: 5.2163 5.2163 5.2163
angles: 90.00 90.00 90.00
With the nearest neighbours (Å) after each atom.
Fractional positions:
1 Si 0.5000 0.0000 0.0000  2 Te 2.61
2 Te 0.0000 0.0000 0.0000  6 Si 2.61
3 Si 0.0000 0.5000 0.0000  2 Te 2.61
4 Si 0.0000 0.0000 0.5000  2 Te 2.61
5 C 0.5000 0.5000 0.5000  12 Si 3.69

Properties
* relative energy among the computed polymorphs: 38.975 kcal/mol of atoms
* symmetry: No. 221


[4]
Material: SiTe2C
Method: DFT, GGA-PBE
State: optimized geometry

abc: 4.7673 4.7673 4.7673
angles: 60.00 60.00 60.00
With the nearest neighbours (Å) after each atom.
Fractional positions:
1 Te 0.7500 0.7500 0.7500  4 Si 2.92, 4 C 2.92
2 C 0.0000 0.0000 0.0000  8 Te 2.92
3 Te 0.2500 0.2500 0.2500  4 C 2.92, 4 Si 2.92
4 Si 0.5000 0.5000 0.5000  8 Te 2.92

Properties
* relative energy among the computed polymorphs: 10.229 kcal/mol of atoms
* symmetry: No. 225


[5]
Material: Si2TeC
Method: DFT, GGA-PBE
State: optimized geometry

abc: 4.5291 4.5291 4.5291
angles: 60.00 60.00 60.00
With the nearest neighbours (Å) after each atom.
Fractional positions:
1 C 0.0000 0.0000 0.0000  8 Si 2.77
2 Te 0.5000 0.5000 0.5000  8 Si 2.77
3 Si 0.7500 0.7500 0.7500  4 Te 2.77, 4 C 2.77
4 Si 0.2500 0.2500 0.2500  4 Te 2.77, 4 C 2.77

Properties
* relative energy among the computed polymorphs: 27.999 kcal/mol of atoms
* symmetry: No. 225


[6]
Material: SiTe2C
Method: DFT, GGA-PBE
State: optimized geometry

abc: 7.6182 7.6182 7.6182
angles: 32.34 32.34 32.34
With the nearest neighbours (Å) after each atom.
Fractional positions:
1 C 0.0000 0.0000 0.0000  2 Te 1.97
2 Si 0.5000 0.5000 0.5000  6 Te 2.94
3 Te 0.9089 0.9089 0.9089  1 C 1.97
4 Te 0.0911 0.0911 0.0911  1 C 1.97

Properties
* relative energy among the computed polymorphs: 1.904 kcal/mol of atoms
* symmetry: No. 166


[7]
Material: Si2TeC
Method: DFT, GGA-PBE
State: optimized geometry

abc: 5.8261 5.8261 5.7148
angles: 59.35 59.35 90.00
With the nearest neighbours (Å) after each atom.
Fractional positions:
1 Si 0.2327 0.6250 0.2500  2 C 1.95
2 C 0.5000 0.5000 0.0000  4 Si 1.95
3 Si 0.5173 0.1250 0.2500  2 C 1.95
4 Te 0.7500 0.2500 0.5000  4 Si 2.73
5 Si 0.8750 0.7673 0.7500  2 C 1.95
6 Te 0.0000 0.0000 0.0000  4 Si 2.73
7 C 0.2500 0.7500 0.5000  4 Si 1.95
8 Si 0.3750 0.4827 0.7500  2 C 1.95

Properties
* relative energy among the computed polymorphs: 0.000 kcal/mol of atoms
* symmetry: No. 122


[8]
Material: SiTeC3
Method: DFT, GGA-PBE
State: optimized geometry

abc: 3.8869 3.8869 3.8869
angles: 90.00 90.00 90.00
With the nearest neighbours (Å) after each atom.
Fractional positions:
1 C 0.0000 0.0000 0.5000  2 Si 1.94
2 C 0.5000 0.0000 0.0000  2 Si 1.94
3 C 0.0000 0.5000 0.0000  2 Si 1.94
4 Te 0.5000 0.5000 0.5000  12 C 2.75
5 Si 0.0000 0.0000 0.0000  6 C 1.94

Properties
* relative energy among the computed polymorphs: 0.000 kcal/mol of atoms
* symmetry: No. 221


[9]
Material: SiTeC3
Method: DFT, GGA-PBE
State: optimized geometry

abc: 4.1868 4.1868 4.1868
angles: 90.00 90.00 90.00
With the nearest neighbours (Å) after each atom.
Fractional positions:
1 Si 0.5000 0.5000 0.5000  12 C 2.96
2 C 0.0000 0.0000 0.5000  2 Te 2.09
3 C 0.5000 0.0000 0.0000  2 Te 2.09
4 Te 0.0000 0.0000 0.0000  6 C 2.09
5 C 0.0000 0.5000 0.0000  2 Te 2.09

Properties
* relative energy among the computed polymorphs: 23.485 kcal/mol of atoms
* symmetry: No. 221


[10]
Material: SiTe3C
Method: DFT, GGA-PBE
State: optimized geometry

abc: 4.7853 4.7853 4.7853
angles: 90.00 90.00 90.00
With the nearest neighbours (Å) after each atom.
Fractional positions:
1 Si 0.5000 0.5000 0.5000  12 Te 3.38
2 Te 0.5000 0.0000 0.0000  2 C 2.39
3 C 0.0000 0.0000 0.0000  6 Te 2.39
4 Te 0.0000 0.5000 0.0000  2 C 2.39
5 Te 0.0000 0.0000 0.5000  2 C 2.39

Properties
* relative energy among the computed polymorphs: 0.000 kcal/mol of atoms
* symmetry: No. 221


[11]
Material: Si3TeC
Method: DFT, GGA-PBE
State: optimized geometry

abc: 4.2803 4.2803 4.2803
angles: 90.00 90.00 90.00
With the nearest neighbours (Å) after each atom.
Fractional positions:
1 Si 0.0000 0.5000 0.0000  2 C 2.14
2 Si 0.5000 0.0000 0.0000  2 C 2.14
3 Si 0.0000 0.0000 0.5000  2 C 2.14
4 Te 0.5000 0.5000 0.5000  12 Si 3.03
5 C 0.0000 0.0000 0.0000  6 Si 2.14

Properties
* relative energy among the computed polymorphs: 0.000 kcal/mol of atoms
* symmetry: No. 221


[12]
Material: SiTe2C
Method: DFT, GGA-PBE
State: optimized geometry

abc: 9.1330 9.1330 9.1330
angles: 20.87 20.87 20.87
With the nearest neighbours (Å) after each atom.
Fractional positions:
1 Te 0.8923 0.8923 0.8923  3 C 2.48
2 Si 0.0000 0.0000 0.0000  2 Te 2.89
3 C 0.5000 0.5000 0.5000  6 Te 2.48
4 Te 0.1077 0.1077 0.1077  3 C 2.48

Properties
* relative energy among the computed polymorphs: 3.973 kcal/mol of atoms
* symmetry: No. 166


[13]
Material: Th8SiTe4C3
Method: DFT, GGA-PBE
State: optimized geometry

abc: 8.0743 8.7635 8.0745
angles: 117.43 120.00 90.00
With the nearest neighbours (Å) after each atom.
Fractional positions:
1 Te 0.0000 0.0000 0.5000  6 Th 3.30-3.33
2 Te 0.5000 0.0000 0.5000  6 Th 3.30-3.33
3 Th 0.7599 0.3098 0.5199  2 C 2.67, 1 Si 2.85
4 Th 0.2401 0.6902 0.4801  2 C 2.67, 1 Si 2.85
5 Th 0.7285 0.6853 0.4569  3 C 2.71
6 Th 0.7599 0.3098 0.0499  2 C 2.67, 1 Si 2.85
7 C 0.5000 0.5000 0.5000  6 Th 2.67-2.71
8 Te 0.0000 0.0000 0.0000  6 Th 3.30-3.33
9 Th 0.2401 0.6902 0.9501  2 C 2.67, 1 Si 2.85
10 Te 0.5000 0.0000 0.0000  6 Th 3.18
11 C 0.5000 0.5000 0.0000  6 Th 2.67-2.71
12 C 0.0000 0.5000 0.5000  6 Th 2.67-2.71
13 Th 0.7101 0.6902 0.9501  2 C 2.67, 1 Si 2.85
14 Th 0.2899 0.3098 0.0499  2 C 2.67, 1 Si 2.85
15 Si 0.0000 0.5000 0.0000  6 Th 2.85
16 Th 0.2715 0.3147 0.5431  3 C 2.71

Properties
* symmetry: No. 166


| no. | V (Å³ per atom) | calculated total energy (eV per cell) | uncorrected formation energy (eV/f.u.) |
| --- | --- | --- | --- |
| 1 | 17.6 | -43.49 | 8.41 |
| 2 | 22.9 | -32.37 | 4.74 |
| 3 | 28.4 | -15.18 | 13.45 |
| 4 | 19.2 | -14.41 | 6.52 |
| 5 | 16.4 | -16.27 | 6.95 |
| 6 | 28.1 | -15.86 | 5.07 |
| 7 | 16.8 | -42.24 | 2.09 |
| 8 | 11.7 | -26.09 | 10.14 |
| 9 | 14.7 | -21.00 | 15.24 |
| 10 | 21.9 | -18.42 | 5.66 |
| 11 | 15.7 | -23.63 | 5.00 |
| 12 | 21.2 | -15.50 | 5.43 |
| 13 | 26.2 | -118.24 | -13.22 |